# Ga2SiRu2 | Alexandria | PBE | optimized geometry
# Energy ... -6.3302 eV/atom
# Space group ... No. 127
# Formation energy (no corrections) ... -1.62 eV per formula unit
data_Ga2SiRu2
_symmetry_space_group_name_H-M 'P 1'
_symmetry_Int_Tables_number 1
_cell_length_a 6.219
_cell_length_b 6.219
_cell_length_c 3.894
_cell_angle_alpha 90.00
_cell_angle_beta 90.00
_cell_angle_gamma 90.00
loop_
_symmetry_equiv_pos_as_xyz
'x,y,z'
loop_
_atom_site_label
_atom_site_type_symbol
_atom_site_fract_x
_atom_site_fract_y
_atom_site_fract_z
Ru1 Ru 0.342 0.842 0.000
Ru2 Ru 0.842 0.658 0.000
Ru3 Ru 0.658 0.158 0.000
Ru4 Ru 0.158 0.342 0.000
Si1 Si 0.000 0.000 0.000
Si2 Si 0.500 0.500 0.000
Ga1 Ga 0.152 0.652 0.500
Ga2 Ga 0.652 0.848 0.500
Ga3 Ga 0.848 0.348 0.500
Ga4 Ga 0.348 0.152 0.500